First-principles (PBE with a Hubbard U) data for a relaxed structure of CaVInF6, as listed in Alexandria via LeMat-Bulk.

Results
final energy = -0.4080 Ry per atom
space group = P1

Unit cell a=5.589 b=5.819 c=5.824 alpha=119.90 beta=90.02 gamma=90.16
Fractional positions:
Ca (0.000, 0.000, 0.000)
V (0.000, 0.333, 0.666)
In (0.500, 0.667, 0.334)
F (0.195, 0.060, 0.371)
F (0.195, 0.630, 0.688)
F (0.196, 0.312, 0.941)
F (0.804, 0.058, 0.687)
F (0.805, 0.312, 0.370)
F (0.805, 0.628, 0.940)